! PBE FeTc2, relaxed; values from VASP
! E_form = 619.1 meV per atom
! calculated density = 9.2 g/cm3
! electronic total energy = -0.6697 Ry/atom
! symmetry = Fm-3m, No. 225
&SYSTEM
  ibrav = 0, nat = 3, ntyp = 2
/
ATOMIC_SPECIES
Fe 55.84 Fe.upf
Tc 98.00 Tc.upf
ATOMIC_POSITIONS crystal
Fe 0.000 0.000 0.000
Tc 0.250 0.250 0.250
Tc 0.750 0.750 0.750
CELL_PARAMETERS angstrom
0.000 2.828 2.828
2.828 0.000 2.828
2.828 2.828 0.000